Pa2Si3Ni: relaxed, PBE.

Its crystal system is orthorhombic. Its total energy is -7.470 eV per atom.

The space group is Pmm2 (No. 25) and the conventional cell measures 3.961, 4.011 and 6.854 Å, with angles of 90.00, 90.00 and 90.00 degrees. The inequivalent atoms are Pa at (0.000, 0.000, 0.000), Pa at (0.000, 0.500, 0.498), Si at (0.500, 0.000, 0.330), Si at (0.500, 0.000, 0.672), Si at (0.500, 0.500, 0.155) and Ni at (0.500, 0.500, 0.827).